CeNdRu | PBE | relaxed

Cell and atoms, written as POSCAR:
```
CeNdRu
1.0
3.5596 0.0000 0.0000
0.0000 3.5596 0.0000
0.0000 0.0000 11.2747
Ce Nd Ru
2 2 2
Cartesian
0.0000 0.0000 0.0000
1.7798 1.7798 5.6373
0.0000 0.0000 7.9701
1.7798 1.7798 2.3328
0.0000 0.0000 4.3612
1.7798 1.7798 9.9985
```

Computed properties:
- Space-group type: I4mm, No. 107
- Offset from the most stable computed form: 91 meV per atom
- DFT formation energy: -154 meV/atom